Na2As3Pd6 PBE-GGA relaxed; DFT total energy = -0.3486 Ry/atom; space-group type = P-62m, No. 189
1.0
7.353 0.000 0.000
-3.676 6.368 0.000
0.000 0.000 4.340
Na As Pd
2 3 6
Direct
0.333 0.667 0.000
0.667 0.333 0.000
0.000 0.620 0.500
0.380 0.380 0.500
0.620 0.000 0.500
0.000 0.285 0.500
0.000 0.782 0.000
0.218 0.218 0.000
0.285 0.000 0.500
0.715 0.715 0.500
0.782 0.000 0.000


Na3AsPd PBE-GGA relaxed; DFT total energy = -0.1853 Ry/atom; space-group type = Pm-3m, No. 221; excess energy over the best structure of this formula in the dataset = 60.3 kJ/mol of atoms
1.0
5.445 0.000 0.000
0.000 5.445 0.000
0.000 0.000 5.445
Na As Pd
3 1 1
Direct
0.000 0.000 0.500
0.000 0.500 0.000
0.500 0.000 0.000
0.000 0.000 0.000
0.500 0.500 0.500